Record 1
## MgCuAgPt (PBE-GGA)

Data for a relaxed MgCuAgPt crystal.

Unit cell a=4.4500 b=4.4500 c=4.4500 alpha=60.00 beta=60.00 gamma=60.00
With the nearest neighbours (Å) after each atom.
Fractional coordinates of all 4 atoms:
Mg1 0.0000 0.0000 0.0000  4 Pt 2.73, 4 Ag 2.73
Ag1 0.2500 0.2500 0.2500  4 Mg 2.73, 4 Cu 2.73
Pt1 0.7500 0.7500 0.7500  4 Cu 2.73, 4 Mg 2.73
Cu1 0.5000 0.5000 0.5000  4 Pt 2.73, 4 Ag 2.73

- D(E_F): 0.37 states/eV per atom
- DFT formation energy: -30.85 kJ per mole of atoms
- SG: F-43m (216)
- VASP energy: -15.86 eV for the cell shown

---

Record 2
## Ti3Sn (PBE-GGA)

Data for a relaxed Ti3Sn crystal.

Unit cell a=4.1600 b=4.1544 c=4.1634 alpha=90.00 beta=90.00 gamma=90.00
With the nearest neighbours (Å) after each atom.
Fractional coordinates of all 4 atoms:
Ti1 0.0000 0.5000 0.5833  8 Ti 2.94, 4 Sn 2.94
Sn1 0.0000 0.0000 0.0834  12 Ti 2.94
Ti2 0.5000 0.5000 0.0833  4 Sn 2.94, 8 Ti 2.94
Ti3 0.5000 0.0000 0.5833  8 Ti 2.94, 4 Sn 2.94

- D(E_F): 1.29 states/eV per atom
- DFT formation energy: -25.29 kJ per mole of atoms
- SG: Pm-3m (221)
- VASP energy: -28.74 eV for the cell shown

---

Record 3
## Nb2SiB2 (PBE-GGA)

Data for a relaxed Nb2SiB2 crystal.

Unit cell a=5.8549 b=5.8549 c=6.8127 alpha=90.00 beta=90.00 gamma=90.00
With the nearest neighbours (Å) after each atom.
Fractional coordinates of all 20 atoms:
Si1 0.0000 0.0000 0.7500  4 B 2.39
B1 0.8936 0.6064 0.2500  1 B 1.76
B2 0.3936 0.8936 0.2500  1 B 1.76
Nb1 0.8166 0.3167 0.5000  6 B 2.44-2.45
Si2 0.5000 0.5000 0.7500  4 B 2.39
B3 0.3936 0.8936 0.7500  1 B 1.76
B4 0.6064 0.1064 0.2500  1 B 1.76
Nb2 0.1833 0.6834 0.0000  6 B 2.44-2.45
Nb3 0.6834 0.8167 0.0000  6 B 2.44-2.45
Nb4 0.3167 0.1834 0.5000  6 B 2.44-2.45
Nb5 0.1834 0.6833 0.5000  6 B 2.44-2.45
B5 0.6064 0.1064 0.7500  1 B 1.76
Si3 0.5000 0.5000 0.2500  4 B 2.39
B6 0.1064 0.3936 0.7500  1 B 1.76
Nb6 0.8167 0.3166 0.0000  6 B 2.44-2.45
Si4 0.0000 0.0000 0.2500  4 B 2.39
Nb7 0.3166 0.1833 0.0000  6 B 2.44-2.45
B7 0.8936 0.6064 0.7500  1 B 1.76
Nb8 0.6833 0.8166 0.5000  6 B 2.44-2.45
B8 0.1064 0.3936 0.2500  1 B 1.76

- D(E_F): 0.68 states/eV per atom
- E_form (uncorrected): -420 meV/atom
- SG: P4/mbm (127)
- VASP energy: -164.07 eV for the cell shown

---

Record 4
## Tl2CrMo (PBE-GGA)

Data for a relaxed Tl2CrMo crystal.

Unit cell a=4.7360 b=3.0403 c=5.6204 alpha=86.40 beta=90.00 gamma=90.00
With the nearest neighbours (Å) after each atom.
Fractional coordinates of all 4 atoms:
Tl1 0.0000 0.0333 0.0000  2 Cr 2.85, 2 Mo 2.91, 4 Tl 3.03-3.18
Tl2 0.0000 0.4667 0.5000  2 Cr 2.85, 2 Mo 2.91, 4 Tl 3.03-3.18
Mo1 0.5000 0.7500 0.7500  4 Tl 2.91, 2 Mo 3.04, 2 Cr 3.11
Cr1 0.5000 0.2500 0.2500  4 Tl 2.85, 2 Cr 3.04, 2 Mo 3.11

- E above lowest polymorph: 345 meV per atom
- D(E_F): 0.82 states/eV per atom
- DFT formation energy: 81.39 kJ per mole of atoms
- SG: P2/m (10)
- VASP energy: -21.81 eV for the cell shown

---

Record 5
## KCaIn2 (PBE-GGA)

Data for a relaxed KCaIn2 crystal.

Unit cell a=6.8698 b=6.8698 c=5.8060 alpha=65.06 beta=65.06 gamma=32.23
With the nearest neighbours (Å) after each atom.
Fractional coordinates of all 4 atoms:
K1 0.5193 0.5193 0.4804  6 In 3.51-3.65, 2 Ca 3.76, 2 K 3.81
In1 0.2816 0.2816 0.2185  2 In 3.02
In2 0.9788 0.9788 0.0211  2 In 3.02
Ca1 0.7203 0.7203 0.7800  6 In 3.44-3.55, 2 K 3.76, 2 Ca 3.81

- E above lowest polymorph: 43 meV per atom
- D(E_F): 0.36 states/eV per atom
- DFT formation energy: -16.48 kJ per mole of atoms
- SG: Cm (8)
- VASP energy: -9.26 eV for the cell shown

---

Record 6
## ScZnCr2Sn (PBE-GGA)

Data for a relaxed ScZnCr2Sn crystal.

Unit cell a=4.7305 b=5.0111 c=4.7305 alpha=90.00 beta=90.00 gamma=90.00
With the nearest neighbours (Å) after each atom.
Fractional coordinates of all 5 atoms:
Sc1 0.5000 0.5000 0.5000  4 Sn 3.34, 8 Cr 3.45
Sn1 0.0000 0.5000 0.0000  2 Zn 2.51
Zn1 0.0000 0.0000 0.0000  4 Cr 2.37, 2 Sn 2.51
Cr1 0.0000 0.0000 0.5000  2 Zn 2.37
Cr2 0.5000 0.0000 0.0000  2 Zn 2.37

- E above lowest polymorph: 0 meV per atom
- D(E_F): 0.84 states/eV per atom
- DFT formation energy: 74.41 kJ per mole of atoms
- SG: P4/mmm (123)
- VASP energy: -27.00 eV for the cell shown

---

Record 7
## BaLa2Os (PBE-GGA)

Data for a relaxed BaLa2Os crystal.

Unit cell a=4.7199 b=5.3784 c=4.5283 alpha=90.00 beta=90.00 gamma=90.00
With the nearest neighbours (Å) after each atom.
Fractional coordinates of all 4 atoms:
La1 0.0000 0.0000 0.0000  4 Os 3.27, 4 Ba 3.52, 4 La 3.58
Os1 0.5000 0.0000 0.5000  8 La 3.27-3.52, 4 Ba 3.58
La2 0.5000 0.5000 0.0000  4 Ba 3.27, 4 Os 3.52, 4 La 3.58
Ba1 0.0000 0.5000 0.5000  8 La 3.27-3.52, 4 Os 3.58

- E above lowest polymorph: 567 meV per atom
- D(E_F): 0.76 states/eV per atom
- DFT formation energy: 49.99 kJ per mole of atoms
- SG: Pmmm (47)
- VASP energy: -20.93 eV for the cell shown

---

Record 8
## Mg2ScAs (PBE-GGA)

Data for a relaxed Mg2ScAs crystal.

Unit cell a=6.3556 b=6.3556 c=6.3556 alpha=146.74 beta=141.89 gamma=51.46
With the nearest neighbours (Å) after each atom.
Fractional coordinates of all 4 atoms:
As1 0.2500 0.7500 0.5000  4 Sc 2.76, 4 Mg 2.99
Mg1 0.0427 0.0427 0.0000  4 Mg 2.93, 2 As 2.99, 2 Sc 3.15
Mg2 0.4573 0.4573 0.0000  4 Mg 2.93, 2 As 2.99, 2 Sc 3.15
Sc1 0.7500 0.2500 0.5000  4 As 2.76

- D(E_F): 0.36 states/eV per atom
- DFT formation energy: -43.84 kJ per mole of atoms
- SG: Immm (71)
- VASP energy: -15.99 eV for the cell shown

---

Record 9
## CaTeMoN2 (PBE-GGA)

Data for a relaxed CaTeMoN2 crystal.

Unit cell a=4.4717 b=4.4717 c=6.6677 alpha=90.00 beta=90.00 gamma=90.00
With the nearest neighbours (Å) after each atom.
Fractional coordinates of all 5 atoms:
Te1 0.0000 0.0000 0.5000  4 Mo 3.16, 2 Ca 3.33
Mo1 0.5000 0.5000 0.5000  4 Te 3.16
N1 0.5000 0.0000 0.0000  2 Ca 2.24
Ca1 0.0000 0.0000 0.0000  4 N 2.24
N2 0.0000 0.5000 0.0000  2 Ca 2.24

- E above lowest polymorph: 1828 meV per atom
- D(E_F): 0.67 states/eV per atom
- E_form (uncorrected): 1763 meV/atom
- SG: P4/mmm (123)
- VASP energy: -23.81 eV for the cell shown

---

Record 10
## La2TaSi (PBE-GGA)

Data for a relaxed La2TaSi crystal.

Unit cell a=4.6096 b=4.6096 c=4.5286 alpha=90.00 beta=90.00 gamma=90.00
With the nearest neighbours (Å) after each atom.
Fractional coordinates of all 4 atoms:
La1 0.0000 0.0000 0.0000  4 Ta 3.23, 4 Si 3.23, 4 La 3.26
La2 0.5000 0.5000 0.0000  4 Ta 3.23, 4 Si 3.23, 4 La 3.26
Ta1 0.0000 0.5000 0.5000  8 La 3.23, 4 Si 3.26
Si1 0.5000 0.0000 0.5000  8 La 3.23, 4 Ta 3.26

- D(E_F): 1.09 states/eV per atom
- E_form (uncorrected): 141 meV/atom
- SG: P4/mmm (123)
- VASP energy: -26.57 eV for the cell shown

---

Record 11
## LaDy2Pt (PBE-GGA)

Data for a relaxed LaDy2Pt crystal.

Unit cell a=3.9981 b=3.9981 c=9.4141 alpha=77.74 beta=77.74 gamma=60.00
With the nearest neighbours (Å) after each atom.
Fractional coordinates of all 4 atoms:
Pt1 0.6655 0.6655 0.0034  6 Dy 2.79-2.81
La1 0.5024 0.5024 0.4927  6 Dy 3.70-3.84, 6 La 4.00
Dy1 0.2748 0.2748 0.1755  3 Pt 2.79
Dy2 0.0572 0.0572 0.8285  3 Pt 2.81

- E above lowest polymorph: 139 meV per atom
- D(E_F): 1.19 states/eV per atom
- DFT formation energy: -53.08 kJ per mole of atoms
- SG: R3m (160)
- VASP energy: -22.37 eV for the cell shown

---

Record 12
## TbZnAgAu (PBE-GGA)

Data for a relaxed TbZnAgAu crystal.

Unit cell a=4.8448 b=4.8448 c=4.8448 alpha=60.00 beta=60.00 gamma=60.00
With the nearest neighbours (Å) after each atom.
Fractional coordinates of all 4 atoms:
Zn1 0.2500 0.2500 0.2500  4 Au 2.97, 4 Ag 2.97
Tb1 0.7500 0.7500 0.7500  4 Ag 2.97, 4 Au 2.97
Ag1 0.5000 0.5000 0.5000  4 Zn 2.97, 4 Tb 2.97
Au1 0.0000 0.0000 0.0000  4 Tb 2.97, 4 Zn 2.97

- D(E_F): 0.77 states/eV per atom
- DFT formation energy: -41.60 kJ per mole of atoms
- SG: F-43m (216)
- VASP energy: -13.76 eV for the cell shown

---

> Look up the D(E_F) of the sixth one.

0.84 states/eV per atom